Below is crystalline Zr4TaCd at its relaxed geometry, with properties calculated at the PBE level.

Cell: 5.735 5.735 5.735 Å, 60.00 60.00 60.00°
Element x y z (fractional)
Ta  0.000  0.000  0.000
Cd  0.750  0.750  0.750
Zr  0.882  0.373  0.373
Zr  0.373  0.882  0.373
Zr  0.373  0.373  0.373
Zr  0.373  0.373  0.882

## Properties
energy = -7.40 eV/atom
calculated density = 8.19 g/cm³
ΔE_f = 0.42 eV per atom
SG = F-43m
calculated volume = 133.4 Å³ per cell